# GaAg2Te | Alexandria | PBE | optimized geometry
# energy above the most stable polymorph in this dataset = 50.7 meV per atom
data_GaAg2Te
_chemical_formula_sum 'Ga4 Ag8 Te4'
_space_group_name_H-M_alt 'F m -3 m'
_space_group_IT_number 225
_space_group_name_Hall '-F 4 2 3'
_cell_length_a 7.059
_cell_length_b 7.059
_cell_length_c 7.059
_cell_angle_alpha 90.00
_cell_angle_beta 90.00
_cell_angle_gamma 90.00
loop_
_atom_site_label
_atom_site_type_symbol
_atom_site_fract_x
_atom_site_fract_y
_atom_site_fract_z
Ga1 Ga 0.000 0.000 0.000
Ag1 Ag 0.250 0.250 0.250
Te1 Te 0.000 0.000 0.500

A plane-wave DFT calculation with PBE was carried out for crystalline GaAgTe2 at its relaxed geometry.

```
data_GaAgTe2
_chemical_formula_sum 'Ga1 Ag1 Te2'
_space_group_name_H-M_alt 'P -4 m 2'
_space_group_IT_number 115
_cell_length_a 4.399
_cell_length_b 4.399
_cell_length_c 6.541
_cell_angle_alpha 90.00
_cell_angle_beta 90.00
_cell_angle_gamma 90.00
loop_
_space_group_symop_operation_xyz
'x,y,z'
'y,-x,-z'
'-x,-y,z'
'-y,x,-z'
'-x,y,z'
'-y,-x,-z'
'x,-y,z'
'y,x,-z'
loop_
_atom_site_label
_atom_site_type_symbol
_atom_site_fract_x
_atom_site_fract_y
_atom_site_fract_z
Ga1 Ga 0.000 0.000 0.000
Ag1 Ag 0.500 0.500 0.500
Te1 Te 0.000 0.500 0.240
```

# GaAg2Te2 | Alexandria | PBE | optimized geometry
# energy above the most stable polymorph in this dataset = 101.2 meV per atom
data_GaAg2Te2
_chemical_formula_sum 'Ga2 Ag4 Te4'
_space_group_name_H-M_alt 'P 4/m b m'
_space_group_IT_number 127
_space_group_name_Hall '-P 4 2ab'
_cell_length_a 8.625
_cell_length_b 8.625
_cell_length_c 3.347
_cell_angle_alpha 90.00
_cell_angle_beta 90.00
_cell_angle_gamma 90.00
loop_
_atom_site_label
_atom_site_type_symbol
_atom_site_fract_x
_atom_site_fract_y
_atom_site_fract_z
Ga1 Ga 0.000 0.000 0.000
Ag1 Ag 0.123 0.377 0.500
Te1 Te 0.176 0.676 0.000

# Ga2AgTe2 | Alexandria | PBE | optimized geometry
# energy above the most stable polymorph in this dataset = 0.0 meV per atom
data_Ga2AgTe2
_chemical_formula_sum 'Ga4 Ag2 Te4'
_space_group_name_H-M_alt 'I 4/m m m'
_space_group_IT_number 139
_space_group_name_Hall '-I 4 2'
_cell_length_a 5.529
_cell_length_b 5.529
_cell_length_c 8.230
_cell_angle_alpha 90.00
_cell_angle_beta 90.00
_cell_angle_gamma 90.00
loop_
_atom_site_label
_atom_site_type_symbol
_atom_site_fract_x
_atom_site_fract_y
_atom_site_fract_z
Ga1 Ga 0.000 0.000 0.155
Ag1 Ag 0.000 0.000 0.500
Te1 Te 0.000 0.500 0.250

# GaAgTe3 | Alexandria | PBE | optimized geometry
# energy above the most stable polymorph in this dataset = 536.9 meV per atom
data_GaAgTe3
_chemical_formula_sum 'Ga1 Ag1 Te3'
_space_group_name_H-M_alt 'P m -3 m'
_space_group_IT_number 221
_space_group_name_Hall '-P 4 2 3'
_cell_length_a 5.495
_cell_length_b 5.495
_cell_length_c 5.495
_cell_angle_alpha 90.00
_cell_angle_beta 90.00
_cell_angle_gamma 90.00
loop_
_atom_site_label
_atom_site_type_symbol
_atom_site_fract_x
_atom_site_fract_y
_atom_site_fract_z
Ga1 Ga 0.000 0.000 0.000
Ag1 Ag 0.500 0.500 0.500
Te1 Te 0.000 0.500 0.500

# GaAg2Te2 | Alexandria | PBE | optimized geometry
# energy above the most stable polymorph in this dataset = 0.0 meV per atom
data_GaAg2Te2
_chemical_formula_sum 'Ga2 Ag4 Te4'
_space_group_name_H-M_alt 'I 4/m m m'
_space_group_IT_number 139
_space_group_name_Hall '-I 4 2'
_cell_length_a 4.101
_cell_length_b 4.101
_cell_length_c 15.491
_cell_angle_alpha 90.00
_cell_angle_beta 90.00
_cell_angle_gamma 90.00
loop_
_atom_site_label
_atom_site_type_symbol
_atom_site_fract_x
_atom_site_fract_y
_atom_site_fract_z
Ga1 Ga 0.000 0.000 0.000
Ag1 Ag 0.000 0.500 0.250
Te1 Te 0.000 0.000 0.382

A plane-wave DFT calculation with PBE was carried out for crystalline GaAg5Te6 at its relaxed geometry.

```
data_GaAg5Te6
_chemical_formula_sum 'Ga2 Ag10 Te12'
_space_group_name_H-M_alt 'C 1 2/m 1'
_space_group_IT_number 12
_cell_length_a 7.413
_cell_length_b 12.432
_cell_length_c 7.150
_cell_angle_alpha 90.00
_cell_angle_beta 111.05
_cell_angle_gamma 90.00
loop_
_space_group_symop_operation_xyz
'x,y,z'
'-x,-y,-z'
'-x,y,-z'
'x,-y,z'
'x+1/2,y+1/2,z'
'-x+1/2,-y+1/2,-z'
'-x+1/2,y+1/2,-z'
'x+1/2,-y+1/2,z'
loop_
_atom_site_label
_atom_site_type_symbol
_atom_site_fract_x
_atom_site_fract_y
_atom_site_fract_z
Ga1 Ga 0.000 0.000 0.000
Ag1 Ag 0.000 0.160 0.500
Ag2 Ag 0.000 0.326 0.000
Ag3 Ag 0.000 0.500 0.500
Te1 Te 0.217 0.163 0.258
Te2 Te 0.218 0.500 0.224
```

# GaAg2Te | Alexandria | PBE | optimized geometry
# energy above the most stable polymorph in this dataset = 237.1 meV per atom
data_GaAg2Te
_chemical_formula_sum 'Ga3 Ag6 Te3'
_space_group_name_H-M_alt 'R -3 m'
_space_group_IT_number 166
_space_group_name_Hall '-R 3 2"'
_cell_length_a 3.1036
_cell_length_b 3.1036
_cell_length_c 32.2488
_cell_angle_alpha 90.00
_cell_angle_beta 90.00
_cell_angle_gamma 120.00
loop_
_atom_site_label
_atom_site_type_symbol
_atom_site_fract_x
_atom_site_fract_y
_atom_site_fract_z
Ga1 Ga 0.0000 0.0000 0.0000
Ag1 Ag 0.0000 0.0000 0.0819
Te1 Te 0.0000 0.0000 0.5000

# GaAg2Te | Alexandria | PBE | optimized geometry
# energy above the most stable polymorph in this dataset = 0.0 meV per atom
data_GaAg2Te
_chemical_formula_sum 'Ga4 Ag8 Te4'
_space_group_name_H-M_alt 'I -4 2 d'
_space_group_IT_number 122
_space_group_name_Hall 'I -4 2bw'
_cell_length_a 4.645
_cell_length_b 4.645
_cell_length_c 17.639
_cell_angle_alpha 90.00
_cell_angle_beta 90.00
_cell_angle_gamma 90.00
loop_
_atom_site_label
_atom_site_type_symbol
_atom_site_fract_x
_atom_site_fract_y
_atom_site_fract_z
Ga1 Ga 0.000 0.000 0.000
Ag1 Ag 0.197 0.250 0.125
Te1 Te 0.000 0.000 0.500

# GaAgTe3 | Alexandria | PBE | optimized geometry
# energy above the most stable polymorph in this dataset = 624.4 meV per atom
data_GaAgTe3
_chemical_formula_sum 'Ga1 Ag1 Te3'
_space_group_name_H-M_alt 'P m -3 m'
_space_group_IT_number 221
_space_group_name_Hall '-P 4 2 3'
_cell_length_a 5.409
_cell_length_b 5.409
_cell_length_c 5.409
_cell_angle_alpha 90.00
_cell_angle_beta 90.00
_cell_angle_gamma 90.00
loop_
_atom_site_label
_atom_site_type_symbol
_atom_site_fract_x
_atom_site_fract_y
_atom_site_fract_z
Ga1 Ga 0.000 0.000 0.000
Ag1 Ag 0.500 0.500 0.500
Te1 Te 0.000 0.000 0.500

A plane-wave DFT calculation with PBE was carried out for crystalline GaAgTe at its relaxed geometry.

```
data_GaAgTe
_chemical_formula_sum 'Ga4 Ag4 Te4'
_space_group_name_H-M_alt 'F -4 3 m'
_space_group_IT_number 216
_space_group_name_Hall 'F -4 2 3'
_cell_length_a 6.786
_cell_length_b 6.786
_cell_length_c 6.786
_cell_angle_alpha 90.00
_cell_angle_beta 90.00
_cell_angle_gamma 90.00
loop_
_atom_site_label
_atom_site_type_symbol
_atom_site_fract_x
_atom_site_fract_y
_atom_site_fract_z
Ga1 Ga 0.000 0.000 0.000
Ag1 Ag 0.250 0.250 0.250
Te1 Te 0.000 0.000 0.500
```

A plane-wave DFT calculation with PBE was carried out for crystalline GaAgTe2 at its relaxed geometry.

```
data_GaAgTe2
_chemical_formula_sum 'Ga3 Ag3 Te6'
_space_group_name_H-M_alt 'R 3 m'
_space_group_IT_number 160
_space_group_name_Hall 'R 3 -2"'
_cell_length_a 4.0444
_cell_length_b 4.0444
_cell_length_c 21.9005
_cell_angle_alpha 90.00
_cell_angle_beta 90.00
_cell_angle_gamma 120.00
loop_
_atom_site_label
_atom_site_type_symbol
_atom_site_fract_x
_atom_site_fract_y
_atom_site_fract_z
Ga1 Ga 0.0000 0.0000 0.0000
Ag1 Ag 0.0000 0.0000 0.1670
Te1 Te 0.0000 0.0000 0.5785
Te2 Te 0.0000 0.0000 0.7491
```

A plane-wave DFT calculation with PBE was carried out for crystalline GaAgTe at its relaxed geometry.

```
data_GaAgTe
_chemical_formula_sum 'Ga2 Ag2 Te2'
_space_group_name_H-M_alt 'P 1'
_space_group_IT_number 1
_cell_length_a 4.734
_cell_length_b 6.452
_cell_length_c 6.663
_cell_angle_alpha 63.23
_cell_angle_beta 69.43
_cell_angle_gamma 68.66
loop_
_space_group_symop_operation_xyz
'x,y,z'
loop_
_atom_site_label
_atom_site_type_symbol
_atom_site_fract_x
_atom_site_fract_y
_atom_site_fract_z
Ga1 Ga 0.000 0.000 0.000
Ga2 Ga 0.404 0.215 0.439
Ag1 Ag 0.216 0.428 0.737
Ag2 Ag 0.637 0.955 0.813
Te1 Te 0.130 0.913 0.419
Te2 Te 0.548 0.485 0.983
```

A plane-wave DFT calculation with PBE was carried out for crystalline GaAgTe at its relaxed geometry.

```
data_GaAgTe
_chemical_formula_sum 'Ga1 Ag1 Te1'
_space_group_name_H-M_alt 'P 3 m 1'
_space_group_IT_number 156
_cell_length_a 4.5996
_cell_length_b 4.5996
_cell_length_c 4.3116
_cell_angle_alpha 90.00
_cell_angle_beta 90.00
_cell_angle_gamma 120.00
loop_
_space_group_symop_operation_xyz
'x,y,z'
'-y,x-y,z'
'-x+y,-x,z'
'-y,-x,z'
'-x+y,y,z'
'x,x-y,z'
loop_
_atom_site_label
_atom_site_type_symbol
_atom_site_fract_x
_atom_site_fract_y
_atom_site_fract_z
Ga1 Ga 0.0000 0.0000 0.0000
Ag1 Ag 0.3333 0.6667 0.3258
Te1 Te 0.6667 0.3333 0.5158
```

A plane-wave DFT calculation with PBE was carried out for crystalline Ga12Ag3Te5 at its relaxed geometry.

```
data_Ga12Ag3Te5
_chemical_formula_sum 'Ga96 Ag24 Te40'
_space_group_name_H-M_alt 'I a -3 d'
_space_group_IT_number 230
_space_group_name_Hall '-I 4bd 2c 3'
_cell_length_a 16.199
_cell_length_b 16.199
_cell_length_c 16.199
_cell_angle_alpha 90.00
_cell_angle_beta 90.00
_cell_angle_gamma 90.00
loop_
_atom_site_label
_atom_site_type_symbol
_atom_site_fract_x
_atom_site_fract_y
_atom_site_fract_z
Ga1 Ga 0.011 0.089 0.654
Ag1 Ag 0.000 0.250 0.125
Te1 Te 0.000 0.000 0.000
Te2 Te 0.000 0.250 0.375
```

A plane-wave DFT calculation with PBE was carried out for crystalline GaAgTe2 at its relaxed geometry.

```
data_GaAgTe2
_chemical_formula_sum 'Ga3 Ag3 Te6'
_space_group_name_H-M_alt 'R -3 m'
_space_group_IT_number 166
_space_group_name_Hall '-R 3 2"'
_cell_length_a 3.3482
_cell_length_b 3.3482
_cell_length_c 32.7699
_cell_angle_alpha 90.00
_cell_angle_beta 90.00
_cell_angle_gamma 120.00
loop_
_atom_site_label
_atom_site_type_symbol
_atom_site_fract_x
_atom_site_fract_y
_atom_site_fract_z
Ga1 Ga 0.0000 0.0000 0.0000
Ag1 Ag 0.0000 0.0000 0.5000
Te1 Te 0.0000 0.0000 0.0955
```

# Ga2AgTe2 | Alexandria | PBE | optimized geometry
# energy above the most stable polymorph in this dataset = 97.2 meV per atom
data_Ga2AgTe2
_chemical_formula_sum 'Ga4 Ag2 Te4'
_space_group_name_H-M_alt 'P 4/m b m'
_space_group_IT_number 127
_space_group_name_Hall '-P 4 2ab'
_cell_length_a 7.823
_cell_length_b 7.823
_cell_length_c 3.940
_cell_angle_alpha 90.00
_cell_angle_beta 90.00
_cell_angle_gamma 90.00
loop_
_atom_site_label
_atom_site_type_symbol
_atom_site_fract_x
_atom_site_fract_y
_atom_site_fract_z
Ga1 Ga 0.136 0.364 0.000
Ag1 Ag 0.000 0.000 0.000
Te1 Te 0.173 0.673 0.500

A plane-wave DFT calculation with PBE was carried out for crystalline GaAg2Te5 at its relaxed geometry.

```
data_GaAg2Te5
_chemical_formula_sum 'Ga1 Ag2 Te5'
_space_group_name_H-M_alt 'P 1'
_space_group_IT_number 1
_cell_length_a 6.172
_cell_length_b 6.748
_cell_length_c 6.767
_cell_angle_alpha 78.41
_cell_angle_beta 63.08
_cell_angle_gamma 63.68
loop_
_space_group_symop_operation_xyz
'x,y,z'
loop_
_atom_site_label
_atom_site_type_symbol
_atom_site_fract_x
_atom_site_fract_y
_atom_site_fract_z
Ga1 Ga 0.000 0.000 0.000
Ag1 Ag 0.003 0.500 0.500
Ag2 Ag 0.503 0.500 0.500
Te1 Te 0.223 0.514 0.043
Te2 Te 0.265 0.957 0.514
Te3 Te 0.501 0.000 0.000
Te4 Te 0.737 0.044 0.486
Te5 Te 0.780 0.485 0.957
```

A plane-wave DFT calculation with PBE was carried out for crystalline Ti2GaAgTe at its relaxed geometry.

```
data_Ti2GaAgTe
_chemical_formula_sum 'Ti2 Ga1 Ag1 Te1'
_space_group_name_H-M_alt 'P 4/m m m'
_space_group_IT_number 123
_space_group_name_Hall '-P 4 2'
_cell_length_a 5.058
_cell_length_b 5.058
_cell_length_c 5.099
_cell_angle_alpha 90.00
_cell_angle_beta 90.00
_cell_angle_gamma 90.00
loop_
_atom_site_label
_atom_site_type_symbol
_atom_site_fract_x
_atom_site_fract_y
_atom_site_fract_z
Ti1 Ti 0.000 0.500 0.000
Ga1 Ga 0.000 0.000 0.500
Ag1 Ag 0.500 0.500 0.500
Te1 Te 0.500 0.500 0.000
```

A plane-wave DFT calculation with PBE was carried out for crystalline Ga2AgTeW at its relaxed geometry.

```
data_Ga2AgTeW
_chemical_formula_sum 'Ga2 Ag1 Te1 W1'
_space_group_name_H-M_alt 'P 4/m m m'
_space_group_IT_number 123
_space_group_name_Hall '-P 4 2'
_cell_length_a 5.496
_cell_length_b 5.496
_cell_length_c 5.156
_cell_angle_alpha 90.00
_cell_angle_beta 90.00
_cell_angle_gamma 90.00
loop_
_atom_site_label
_atom_site_type_symbol
_atom_site_fract_x
_atom_site_fract_y
_atom_site_fract_z
Ga1 Ga 0.000 0.500 0.000
Ag1 Ag 0.000 0.000 0.500
Te1 Te 0.000 0.000 0.000
W1 W 0.500 0.500 0.500
```

Number 1: uncorrected energy -2.8851 eV/atom, formation energy (no corrections) 0.083 eV per atom. Number 2: uncorrected energy -3.2959 eV/atom, formation energy (no corrections) -0.255 eV per atom. Number 3: uncorrected energy -2.9088 eV/atom, formation energy (no corrections) 0.094 eV per atom. Number 4: uncorrected energy -3.0409 eV/atom, formation energy (no corrections) -0.003 eV per atom. Number 5: uncorrected energy -2.6563 eV/atom, formation energy (no corrections) 0.404 eV per atom. Number 6: uncorrected energy -3.0099 eV/atom, formation energy (no corrections) -0.007 eV per atom. Number 7: uncorrected energy -3.0558 eV/atom, formation energy (no corrections) -0.045 eV per atom. Number 8: uncorrected energy -2.6987 eV/atom, formation energy (no corrections) 0.269 eV per atom. Number 9: uncorrected energy -2.9358 eV/atom, formation energy (no corrections) 0.032 eV per atom. Number 10: uncorrected energy -2.5688 eV/atom, formation energy (no corrections) 0.492 eV per atom. Number 11: uncorrected energy -3.0860 eV/atom, formation energy (no corrections) -0.079 eV per atom. Number 12: uncorrected energy -3.0643 eV/atom, formation energy (no corrections) -0.024 eV per atom. Number 13: uncorrected energy -3.0764 eV/atom, formation energy (no corrections) -0.070 eV per atom. Number 14: uncorrected energy -3.0056 eV/atom, formation energy (no corrections) 0.001 eV per atom. Number 15: uncorrected energy -2.9986 eV/atom, formation energy (no corrections) 0.031 eV per atom. Number 16: uncorrected energy -2.8158 eV/atom, formation energy (no corrections) 0.225 eV per atom. Number 17: uncorrected energy -2.9436 eV/atom, formation energy (no corrections) 0.094 eV per atom. Number 18: uncorrected energy -3.0733 eV/atom, formation energy (no corrections) -0.019 eV per atom. Number 19: uncorrected energy -4.2384 eV/atom, formation energy (no corrections) 0.723 eV per atom. Number 20: uncorrected energy -3.3306 eV/atom, formation energy (no corrections) 1.669 eV per atom.